No. 1
A plane-wave DFT calculation with PBE was carried out for K4Tb3UTe8 after structural relaxation.

a = 9.036 Å, b = 9.764 Å, c = 9.036 Å
α = 117.57°, β = 120.00°, γ = 90.00°
Each line ends with the local moment (μB).
Sites, in units of the cell vectors:
Te (0.762, 0.290, 0.524)  -0.02
U (0.000, 0.500, 0.000)  2.73
K (0.500, 0.000, 0.000)  0.00
K (0.500, 0.000, 0.500)  0.00
Te (0.734, 0.710, 0.972)  -0.02
Tb (0.500, 0.500, 0.000)  0.04
Te (0.238, 0.710, 0.476)  -0.02
Te (0.264, 0.291, 0.527)  0.00
K (0.000, 0.000, 0.500)  0.00
Te (0.266, 0.290, 0.028)  -0.02
Te (0.238, 0.710, 0.972)  -0.02
Tb (0.500, 0.500, 0.500)  0.04
Tb (0.000, 0.500, 0.500)  0.04
K (0.000, 0.000, 0.000)  0.00
Te (0.762, 0.290, 0.028)  -0.02
Te (0.736, 0.709, 0.473)  0.00

Energy: -4.673 eV/atom
Space-group type: No. 166
E_form (uncorrected): -1.2539 eV per atom



No. 2
A plane-wave DFT calculation with PBE was carried out for Pm11Mg9Co4 after structural relaxation.

a = 3.761 Å, b = 13.331 Å, c = 13.331 Å
α = 113.11°, β = 90.00°, γ = 90.00°
Each line ends with the local moment (μB).
Sites, in units of the cell vectors:
Pm (0.000, 0.843, 0.157)  0.09
Pm (0.000, 0.688, 0.688)  0.00
Pm (0.000, 0.374, 0.626)  0.00
Mg (0.500, 0.367, 0.844)  0.00
Co (0.500, 0.454, 0.253)  -0.01
Mg (0.500, 0.500, 0.500)  0.00
Co (0.500, 0.546, 0.747)  -0.01
Pm (0.000, 0.089, 0.418)  0.00
Mg (0.500, 0.219, 0.077)  0.00
Mg (0.500, 0.844, 0.367)  0.00
Pm (0.000, 0.157, 0.843)  0.09
Pm (0.000, 0.582, 0.911)  0.00
Mg (0.500, 0.633, 0.156)  0.00
Mg (0.500, 0.077, 0.219)  0.00
Mg (0.500, 0.781, 0.923)  0.00
Co (0.500, 0.253, 0.454)  -0.01
Co (0.500, 0.747, 0.546)  -0.01
Pm (0.000, 0.312, 0.312)  0.00
Pm (0.000, 0.626, 0.374)  0.00
Pm (0.000, 0.000, 0.000)  0.10
Mg (0.500, 0.156, 0.633)  0.00
Pm (0.000, 0.911, 0.582)  0.00
Pm (0.000, 0.418, 0.089)  0.00
Mg (0.500, 0.923, 0.781)  0.00

Energy: -4.066 eV/atom
Energy relative to the elements: -0.11 eV per atom
Space-group type: No. 65



No. 3
A plane-wave DFT calculation with PBE was carried out for TiRhSe2 after structural relaxation.

a = 4.507 Å, b = 4.507 Å, c = 4.507 Å
α = 60.00°, β = 60.00°, γ = 60.00°
Sites, in units of the cell vectors:
Ti (0.000, 0.000, 0.000)
Rh (0.500, 0.500, 0.500)
Se (0.750, 0.750, 0.750)
Se (0.250, 0.250, 0.250)

Energy: -6.000 eV/atom
Energy above the most stable polymorph in this dataset: 0.134 eV/atom
Space-group type: No. 225
E_form (uncorrected): -0.4466 eV per atom



No. 4
A plane-wave DFT calculation with PBE was carried out for AsRuCl2 after structural relaxation.

a = 3.054 Å, b = 3.054 Å, c = 8.528 Å
α = 90.00°, β = 90.00°, γ = 90.00°
Each line ends with the local moment (μB).
Sites, in units of the cell vectors:
Cl (0.000, 0.000, 0.940)  -0.03
Cl (0.500, 0.500, 0.336)  0.08
As (0.500, 0.500, 0.699)  -0.04
Ru (0.000, 0.000, 0.525)  0.49

Energy: -4.275 eV/atom
Energy above the most stable polymorph in this dataset: 0.455 eV/atom
Space-group type: No. 99
E_form (uncorrected): 0.1298 eV per atom



No. 5
A plane-wave DFT calculation with PBE was carried out for Mg3Si4 after structural relaxation.

a = 9.930 Å, b = 9.930 Å, c = 8.752 Å
α = 88.02°, β = 88.02°, γ = 17.97°
Sites, in units of the cell vectors:
Mg (0.948, 0.948, 0.316)
Mg (0.357, 0.357, 0.086)
Si (0.222, 0.222, 0.260)
Si (0.476, 0.476, 0.569)
Mg (0.323, 0.323, 0.596)
Mg (0.945, 0.945, 0.831)
Si (0.068, 0.068, 0.645)
Si (0.807, 0.807, 0.855)
Mg (0.593, 0.593, 0.336)
Si (0.181, 0.181, 0.527)
Si (0.809, 0.809, 0.332)
Si (0.507, 0.507, 0.076)
Si (0.589, 0.589, 0.864)
Mg (0.198, 0.198, 0.952)

Energy: -3.658 eV/atom
Energy above the most stable polymorph in this dataset: 0.072 eV/atom
Space-group type: No. 8
E_form (uncorrected): 0.1242 eV per atom



No. 6
A plane-wave DFT calculation with PBE was carried out for IrPd2C after structural relaxation.

a = 7.545 Å, b = 7.545 Å, c = 5.713 Å
α = 48.67°, β = 48.67°, γ = 90.00°
Sites, in units of the cell vectors:
Pd (0.875, 0.752, 0.750)
Ir (0.000, 0.000, 0.000)
Pd (0.248, 0.625, 0.250)
Pd (0.375, 0.498, 0.750)
Ir (0.750, 0.250, 0.500)
C (0.500, 0.500, 0.000)
C (0.250, 0.750, 0.500)
Pd (0.502, 0.125, 0.250)

Energy: -6.408 eV/atom
Energy relative to the elements: 0.71 eV per atom
Space-group type: No. 122